ThTlIn2 (GGA-PBE, relaxed); space group = No. 74; ΔE_f = -0.20 eV per atom; density = 9.9 g cm⁻³; magnetic moment = 0.0 μB/f.u.; final energy = -4.0174 eV per atom
1.0
-1.024 -6.562 1.010
4.940 -3.857 2.287
-2.495 -2.157 5.800
Tl In Th
2 4 2
Direct
0.750 0.210 0.290
0.250 0.790 0.710
0.307 0.693 0.193
0.193 0.307 0.807
0.807 0.693 0.193
0.693 0.307 0.807
0.750 0.811 0.689
0.250 0.189 0.311